Computed, not measured: crystalline CaTeSe2 at its relaxed geometry at the PBE-GGA level of DFT.

Properties
calculated density: 4.9 g cm⁻³
SG: P4/mmm, No. 123
crystal system: tetragonal
E: -15.9 eV/cell

Cell: 4.2316 4.2325 6.1290 Å, 90.00 90.00 90.00°
Atoms (fractional coordinates):
Ca 0.5000 0.5000 0.8750
Te 0.0000 0.0000 0.3750
Se 0.0000 0.0000 0.8750
Se 0.5000 0.5000 0.3750



Computed, not measured: crystalline Ca2TeSe2 at its relaxed geometry at the PBE-GGA level of DFT.

Properties
calculated density: 4.4 g cm⁻³
SG: I4/mmm, No. 139
crystal system: tetragonal
energy above the lowest structure with this stoichiometry: 131 meV/atom

Cell: 4.1844 4.1844 8.3690 Å, 75.52 75.52 90.00°
Atoms (fractional coordinates):
Ca 0.3855 0.3855 0.2289
Ca 0.6145 0.6145 0.7711
Te 0.0000 0.0000 0.0000
Se 0.7500 0.2500 0.5000
Se 0.2500 0.7500 0.5000